No. 1
Computed, not measured: a geometry-optimized CaBeSb2 structure at the GGA-PBE level of DFT.

## Properties
- Raw total energy: -3.5212 eV/atom
- V: 24.15 A^3/atom
- Energy relative to the elements, uncorrected: -28 meV/atom

Geometry as POSCAR:
```
CaBeSb2
1.0
3.866 0.000 0.000
0.000 4.874 0.000
0.000 0.000 10.252
Ca Be Sb
2 2 4
direct
0.000 0.000 0.000
0.500 0.500 0.500
0.000 0.500 0.241
0.500 0.000 0.741
0.000 0.000 0.579
0.000 0.500 0.773
0.500 0.000 0.273
0.500 0.500 0.079
```

=====

No. 2
Computed, not measured: a geometry-optimized CaBeSb2 structure at the GGA-PBE level of DFT.

## Properties
- Raw total energy: -3.6015 eV/atom
- V: 24.26 A^3/atom
- Energy relative to the elements, uncorrected: -108 meV/atom

Geometry as POSCAR:
```
CaBeSb2
1.0
3.765 0.000 0.000
-1.882 3.260 0.000
0.000 0.000 23.721
Ca Be Sb
3 3 6
direct
0.000 0.000 0.000
0.333 0.667 0.667
0.667 0.333 0.333
0.000 0.000 0.500
0.333 0.667 0.167
0.667 0.333 0.833
0.000 0.000 0.231
0.000 0.000 0.769
0.333 0.667 0.436
0.333 0.667 0.898
0.667 0.333 0.102
0.667 0.333 0.564
```

=====

No. 3
Computed, not measured: a geometry-optimized CaBe2Sb structure at the GGA-PBE level of DFT.

## Properties
- Raw total energy: -2.8327 eV/atom
- V: 20.13 A^3/atom
- Energy relative to the elements, uncorrected: 561 meV/atom

Geometry as POSCAR:
```
CaBe2Sb
1.0
6.059 0.000 0.000
0.000 9.789 0.000
-1.611 0.000 2.715
Ca Be Sb
2 4 2
direct
0.000 0.000 0.000
0.500 0.500 0.000
0.250 0.250 0.500
0.250 0.750 0.500
0.750 0.250 0.500
0.750 0.750 0.500
0.000 0.500 0.000
0.500 0.000 0.000
```

=====

No. 4
Computed, not measured: a geometry-optimized CaBeSb4 structure at the GGA-PBE level of DFT.

## Properties
- Raw total energy: -3.4016 eV/atom
- V: 28.80 A^3/atom
- Energy relative to the elements, uncorrected: 301 meV/atom

Geometry as POSCAR:
```
CaBeSb4
1.0
0.000 4.421 4.421
4.421 0.000 4.421
4.421 4.421 0.000
Ca Be Sb
1 1 4
direct
0.000 0.000 0.000
0.250 0.250 0.250
0.128 0.624 0.624
0.624 0.128 0.624
0.624 0.624 0.128
0.624 0.624 0.624
```

=====

V of number 3 (CaBe2Sb)? 20.13 A^3/atom